# 1
A plane-wave DFT calculation with PBE was carried out for a geometry-optimized SbPBr2 structure.

Unit cell a=9.3241 b=9.3241 c=9.3241 alpha=21.90 beta=21.90 gamma=21.90
Closest atoms and distances in Å follow each position.
Fractional coordinates of all 4 atoms:
1 P 0.2500 0.2500 0.2500  6 Br 2.77
2 Br 0.9849 0.9849 0.9849  3 P 2.77
3 Br 0.5151 0.5151 0.5151  3 P 2.77
4 Sb 0.7500 0.7500 0.7500  6 Br 3.38, 6 Sb 3.54

Results
Formation energy from raw total energies, meV/atom: 531
Symmetry: R-3m (166)
Polymorph energy (0 for the lowest one), meV/atom: 730
Raw total energy, eV/cell: -10.755

# 2
A plane-wave DFT calculation with PBE was carried out for a geometry-optimized Pu3ScPd12 structure.

Unit cell a=4.1050 b=4.1050 c=16.3719 alpha=90.00 beta=90.00 gamma=90.00
Closest atoms and distances in Å follow each position.
Fractional coordinates of all 16 atoms:
1 Pd 0.5000 0.5000 0.7548  8 Pd 2.90, 4 Pu 2.90
2 Pd 0.5000 0.5000 0.5000  4 Pu 2.90, 8 Pd 2.95
3 Pd 0.5000 0.0000 0.3704  8 Pd 2.90-2.95, 4 Pu 2.90-2.95
4 Pd 0.0000 0.5000 0.6296  8 Pd 2.90-2.95, 4 Pu 2.90-2.95
5 Pd 0.5000 0.5000 0.0000  8 Pd 2.84, 4 Sc 2.90
6 Pd 0.5000 0.0000 0.6296  8 Pd 2.90-2.95, 4 Pu 2.90-2.95
7 Pd 0.5000 0.0000 0.1202  2 Sc 2.84, 8 Pd 2.84-2.90, 2 Pu 2.90
8 Pd 0.0000 0.5000 0.1202  2 Sc 2.84, 8 Pd 2.84-2.90, 2 Pu 2.90
9 Pd 0.5000 0.0000 0.8798  2 Sc 2.84, 8 Pd 2.84-2.90, 2 Pu 2.90
10 Pd 0.5000 0.5000 0.2452  8 Pd 2.90, 4 Pu 2.90
11 Pd 0.0000 0.5000 0.8798  2 Sc 2.84, 8 Pd 2.84-2.90, 2 Pu 2.90
12 Pd 0.0000 0.5000 0.3704  8 Pd 2.90-2.95, 4 Pu 2.90-2.95
13 Sc 0.0000 0.0000 0.0000  12 Pd 2.84-2.90
14 Pu 0.0000 0.0000 0.7550  12 Pd 2.90
15 Pu 0.0000 0.0000 0.2450  12 Pd 2.90
16 Pu 0.0000 0.0000 0.5000  12 Pd 2.90-2.95

Results
Symmetry: P4/mmm (123)
Energy of formation from the pure elements, meV per atom: -404
Raw total energy, eV/cell: -118.107

# 3
A plane-wave DFT calculation with PBE was carried out for a geometry-optimized PrTmAlGa structure.

Unit cell a=4.4442 b=4.1463 c=6.0193 alpha=90.00 beta=111.66 gamma=90.00
Closest atoms and distances in Å follow each position.
Fractional coordinates of all 4 atoms:
1 Tm 0.1391 0.0000 0.2782  4 Al 3.13, 3 Ga 3.23-3.25
2 Al 0.5732 0.5000 0.1464  2 Ga 2.62
3 Ga 0.4294 0.0000 0.8588  2 Al 2.62
4 Pr 0.8583 0.5000 0.7166  4 Ga 3.14, 3 Al 3.19-3.27

Results
Symmetry: Amm2 (38)
Energy of formation from the pure elements, meV per atom: -474
Polymorph energy (0 for the lowest one), meV/atom: 0
Raw total energy, eV/cell: -17.915

# 4
A plane-wave DFT calculation with PBE was carried out for a geometry-optimized ErAlGa structure.

Unit cell a=3.3368 b=3.3368 c=6.0193 alpha=106.09 beta=106.09 gamma=90.00
Closest atoms and distances in Å follow each position.
Fractional coordinates of all 3 atoms:
1 Ga 0.3148 0.3148 0.6296  4 Al 2.75
2 Er 0.9984 0.9984 0.9969  4 Ga 3.11, 5 Al 3.15-3.45, 4 Er 3.34
3 Al 0.6867 0.6867 0.3735  4 Ga 2.75

Results
Symmetry: I4mm (107)
Energy of formation from the pure elements, meV per atom: -311
Raw total energy, eV/cell: -12.267

# 5
A plane-wave DFT calculation with PBE was carried out for a geometry-optimized TmHgPb structure.

Unit cell a=3.6858 b=3.6858 c=6.4819 alpha=106.52 beta=106.52 gamma=90.00
Closest atoms and distances in Å follow each position.
Fractional coordinates of all 3 atoms:
1 Pb 0.2780 0.2780 0.5560  4 Hg 3.30, 4 Tm 3.42, 4 Pb 3.69
2 Hg 0.6078 0.6078 0.2156  4 Tm 3.11, 4 Pb 3.30
3 Tm 0.9642 0.9642 0.9284  4 Hg 3.11, 4 Pb 3.42

Results
Symmetry: I4mm (107)
Energy of formation from the pure elements, meV per atom: -246
Raw total energy, eV/cell: -9.219

# 6
A plane-wave DFT calculation with PBE was carried out for a geometry-optimized BaHfSe2Br structure.

Unit cell a=5.2625 b=5.2625 c=5.2540 alpha=90.00 beta=90.00 gamma=90.00
Closest atoms and distances in Å follow each position.
Fractional coordinates of all 5 atoms:
1 Se 0.0000 0.5000 0.0000  2 Hf 2.63
2 Se 0.5000 0.0000 0.0000  2 Hf 2.63
3 Ba 0.5000 0.5000 0.5000  8 Se 3.72, 4 Br 3.72
4 Hf 0.0000 0.0000 0.0000  2 Br 2.63, 4 Se 2.63
5 Br 0.0000 0.0000 0.5000  2 Hf 2.63

Results
Formation energy from raw total energies, meV/atom: -1438
Symmetry: P4/mmm (123)
Polymorph energy (0 for the lowest one), meV/atom: 0
Raw total energy, eV/cell: -27.709